Entry 1:
VASP calculation (PBE) on a relaxed La2TmScTe4 crystal.

Fermi-level density of states in states/eV/f.u.: 5.202
ΔE_f (raw) in eV/atom: -1.365

Cell and atoms, written as CIF:
```
data_La2TmScTe4
_cell_length_a 7.545
_cell_length_b 4.332
_cell_length_c 7.819
_cell_angle_alpha 90.00
_cell_angle_beta 108.59
_cell_angle_gamma 90.00
_space_group_name_H-M_alt 'P 1'
_space_group_IT_number 1
loop_
_space_group_symop_operation_xyz
'x,y,z'
loop_
_atom_site_label
_atom_site_type_symbol
_atom_site_fract_x
_atom_site_fract_y
_atom_site_fract_z
La1 La 0.000 0.000 0.000
La2 La 0.500 0.500 0.000
Tm1 Tm 0.000 0.500 0.500
Sc1 Sc 0.500 0.000 0.500
Te1 Te 0.246 0.000 0.725
Te2 Te 0.264 0.500 0.278
Te3 Te 0.736 0.500 0.722
Te4 Te 0.754 0.000 0.275
```

---

Entry 2:
VASP calculation (PBE) on a relaxed La3Tm2ScTe6 crystal.

Fermi-level density of states in states/eV/f.u.: 6.898
ΔE_f (raw) in eV/atom: -1.375

Cell and atoms, written as CIF:
```
data_La3Tm2ScTe6
_cell_length_a 9.953
_cell_length_b 9.953
_cell_length_c 8.968
_cell_angle_alpha 105.05
_cell_angle_beta 105.05
_cell_angle_gamma 25.29
_space_group_name_H-M_alt 'P 1'
_space_group_IT_number 1
loop_
_space_group_symop_operation_xyz
'x,y,z'
loop_
_atom_site_label
_atom_site_type_symbol
_atom_site_fract_x
_atom_site_fract_y
_atom_site_fract_z
La1 La 0.000 0.000 0.000
La2 La 0.331 0.331 0.665
La3 La 0.669 0.669 0.335
Tm1 Tm 0.334 0.334 0.168
Tm2 Tm 0.666 0.666 0.832
Sc1 Sc 0.000 0.000 0.500
Te1 Te 0.158 0.158 0.593
Te2 Te 0.172 0.172 0.071
Te3 Te 0.497 0.497 0.269
Te4 Te 0.503 0.503 0.731
Te5 Te 0.828 0.828 0.929
Te6 Te 0.842 0.842 0.407
```

---

Entry 3:
VASP calculation (PBE) on a relaxed La4Tm3ScTe8 crystal.

Fermi-level density of states in states/eV/f.u.: 11.606
ΔE_f (raw) in eV/atom: -1.377

Cell and atoms, written as CIF:
```
data_La4Tm3ScTe8
_cell_length_a 8.979
_cell_length_b 8.979
_cell_length_c 8.979
_cell_angle_alpha 58.15
_cell_angle_beta 58.15
_cell_angle_gamma 58.15
_space_group_name_H-M_alt 'P 1'
_space_group_IT_number 1
loop_
_space_group_symop_operation_xyz
'x,y,z'
loop_
_atom_site_label
_atom_site_type_symbol
_atom_site_fract_x
_atom_site_fract_y
_atom_site_fract_z
La1 La 0.000 0.000 0.000
La2 La 0.000 0.500 0.500
La3 La 0.500 0.000 0.500
La4 La 0.500 0.500 0.000
Tm1 Tm 0.000 0.000 0.500
Tm2 Tm 0.000 0.500 0.000
Tm3 Tm 0.500 0.000 0.000
Sc1 Sc 0.500 0.500 0.500
Te1 Te 0.243 0.243 0.243
Te2 Te 0.246 0.739 0.739
Te3 Te 0.261 0.261 0.754
Te4 Te 0.261 0.754 0.261
Te5 Te 0.739 0.246 0.739
Te6 Te 0.739 0.739 0.246
Te7 Te 0.754 0.261 0.261
Te8 Te 0.757 0.757 0.757
```

---

Entry 4:
VASP calculation (PBE) on a relaxed LaTmScTe3 crystal.

Fermi-level density of states in states/eV/f.u.: 3.332
ΔE_f (raw) in eV/atom: -1.241

Cell and atoms, written as CIF:
```
data_LaTmScTe3
_cell_length_a 8.818
_cell_length_b 4.341
_cell_length_c 9.942
_cell_angle_alpha 90.00
_cell_angle_beta 106.04
_cell_angle_gamma 90.00
_space_group_name_H-M_alt 'P 1'
_space_group_IT_number 1
loop_
_space_group_symop_operation_xyz
'x,y,z'
loop_
_atom_site_label
_atom_site_type_symbol
_atom_site_fract_x
_atom_site_fract_y
_atom_site_fract_z
La1 La 0.186 0.250 0.236
La2 La 0.814 0.750 0.764
Tm1 Tm 0.326 0.750 0.838
Tm2 Tm 0.674 0.250 0.162
Sc1 Sc 0.092 0.250 0.594
Sc2 Sc 0.908 0.750 0.406
Te1 Te 0.098 0.250 0.885
Te2 Te 0.263 0.750 0.503
Te3 Te 0.432 0.750 0.163
Te4 Te 0.568 0.250 0.837
Te5 Te 0.737 0.250 0.497
Te6 Te 0.902 0.750 0.115
```